The following is a DFT calculation (GGA+U) of a relaxed MnCrPdF6 crystal.

Cell: 5.5278 5.5278 9.8347 Å, 90.00 90.00 120.00°
Element x y z (fractional)
Pd 0.0000 0.0000 0.0000
Pd 0.0000 0.0000 0.5000
F 0.3782 0.3520 0.3580
F 0.9737 0.3520 0.1420
F 0.3782 0.0263 0.1420
Mn 0.6667 0.3333 0.7500
F 0.6218 0.6480 0.6420
F 0.0263 0.6480 0.8580
F 0.0263 0.3782 0.6420
F 0.3520 0.9737 0.6420
F 0.3520 0.3782 0.8580
F 0.6480 0.6218 0.1420
Cr 0.3333 0.6667 0.7500
Cr 0.6667 0.3333 0.2500
F 0.6218 0.9737 0.8580
Mn 0.3333 0.6667 0.2500
F 0.9737 0.6218 0.3580
F 0.6480 0.0263 0.3580

Output
- Space-group type: P-31c (163)
- V: 14.46 A^3/atom
- DFT total energy: -101.46 eV/cell
- Crystal system: trigonal